Density functional theory data (GGA-PBE) for crystalline Te2IrPb at its relaxed geometry.

The structure belongs to space group Immm (No. 71); the cell edges are 3.8109, 5.5156 and 10.8263 Å and the angles 90.00°, 90.00° and 90.00°. Symmetry generates all atoms from Te at (0.0000, 0.0000, 0.1684), Ir at (0.0000, 0.5000, 0.5000) and Pb at (0.0000, 0.5000, 0.0000).

The calculation puts the energy relative to the elements, uncorrected at 22 meV/atom. As for the calculated density: 9.554 g cm⁻³.


Density functional theory data (GGA-PBE) for crystalline TeIrPb2 at its relaxed geometry.

The structure belongs to space group I-4m2 (No. 119); the cell edges are 4.9243, 4.9243 and 8.0945 Å and the angles 90.00°, 90.00° and 90.00°. Symmetry generates all atoms from Te at (0.0000, 0.0000, 0.0000), Ir at (0.0000, 0.5000, 0.7500), Pb at (0.0000, 0.0000, 0.5000) and Pb at (0.0000, 0.5000, 0.2500).

The calculation puts the energy relative to the elements, uncorrected at 485 meV/atom. As for the calculated density: 12.423 g cm⁻³.


Density functional theory data (GGA-PBE) for crystalline TeIr2Pb at its relaxed geometry.

The structure belongs to space group Pmm2 (No. 25); the cell edges are 3.0665, 3.8846 and 7.5592 Å and the angles 90.00°, 90.00° and 90.00°. Symmetry generates all atoms from Te at (0.0000, 0.0000, 0.0000), Ir at (0.0000, 0.0000, 0.3531), Ir at (0.5000, 0.5000, 0.1595) and Pb at (0.5000, 0.5000, 0.5618).

The calculation puts the energy relative to the elements, uncorrected at 295 meV/atom. As for the calculated density: 13.263 g cm⁻³.


Density functional theory data (GGA-PBE) for crystalline TeIr2Pb at its relaxed geometry.

The structure belongs to space group C2/m (No. 12); the cell edges are 8.8882, 3.1670 and 7.6469 Å and the angles 90.00°, 120.01° and 90.00°. Symmetry generates all atoms from Te at (0.0000, 0.0000, 0.0000), Ir at (0.2014, 0.0000, 0.8279) and Pb at (0.0000, 0.5000, 0.5000).

The calculation puts the energy relative to the elements, uncorrected at 438 meV/atom. As for the calculated density: 12.815 g cm⁻³.


Density functional theory data (GGA-PBE) for crystalline Te2IrPb at its relaxed geometry.

The structure belongs to space group I-42d (No. 122); the cell edges are 6.7966, 6.7966 and 11.8509 Å and the angles 90.00°, 90.00° and 90.00°. Symmetry generates all atoms from Te at (0.1801, 0.2500, 0.1250), Ir at (0.0000, 0.0000, 0.0000) and Pb at (0.0000, 0.0000, 0.5000).

The calculation puts the energy relative to the elements, uncorrected at 98 meV/atom. As for the calculated density: 7.943 g cm⁻³.


Density functional theory data (GGA-PBE) for crystalline TeIr2Pb at its relaxed geometry.

The structure belongs to space group P4/mmm (No. 123); the cell edges are 3.3492, 3.3492 and 7.0926 Å and the angles 90.00°, 90.00° and 90.00°. Symmetry generates all atoms from Te at (0.0000, 0.0000, 0.0000), Ir at (0.5000, 0.5000, 0.2104) and Pb at (0.0000, 0.0000, 0.5000).

The calculation puts the energy relative to the elements, uncorrected at 519 meV/atom. As for the calculated density: 15.012 g cm⁻³.


Density functional theory data (GGA-PBE) for crystalline TeIrPb2 at its relaxed geometry.

The structure belongs to space group I4/mmm (No. 139); the cell edges are 4.5912, 4.5912 and 9.3563 Å and the angles 90.00°, 90.00° and 90.00°. Symmetry generates all atoms from Te at (0.0000, 0.0000, 0.0000), Ir at (0.0000, 0.0000, 0.5000) and Pb at (0.0000, 0.5000, 0.2500).

The calculation puts the energy relative to the elements, uncorrected at 436 meV/atom. As for the calculated density: 12.364 g cm⁻³.


Density functional theory data (GGA-PBE) for crystalline TlTe2IrPb at its relaxed geometry.

The structure belongs to space group P4/mmm (No. 123); the cell edges are 5.4262, 5.4262 and 5.1689 Å and the angles 90.00°, 90.00° and 90.00°. Symmetry generates all atoms from Tl at (0.0000, 0.0000, 0.0000), Te at (0.0000, 0.5000, 0.5000), Ir at (0.0000, 0.0000, 0.5000) and Pb at (0.5000, 0.5000, 0.0000).

The calculation puts the energy relative to the elements, uncorrected at 227 meV/atom. As for the calculated density: 9.373 g cm⁻³.


Density functional theory data (GGA-PBE) for crystalline TlTeIrPb2 at its relaxed geometry.

The structure belongs to space group P4/mmm (No. 123); the cell edges are 5.3332, 5.3332 and 5.3107 Å and the angles 90.00°, 90.00° and 90.00°. Symmetry generates all atoms from Tl at (0.0000, 0.0000, 0.0000), Te at (0.5000, 0.5000, 0.0000), Ir at (0.0000, 0.0000, 0.5000) and Pb at (0.0000, 0.5000, 0.5000).

The calculation puts the energy relative to the elements, uncorrected at -21 meV/atom. As for the calculated density: 10.318 g cm⁻³.


Density functional theory data (GGA-PBE) for crystalline Tl2TeIrPb at its relaxed geometry.

The structure belongs to space group P4/mmm (No. 123); the cell edges are 5.3275, 5.3275 and 5.3252 Å and the angles 90.00°, 90.00° and 90.00°. Symmetry generates all atoms from Tl at (0.0000, 0.5000, 0.0000), Te at (0.0000, 0.0000, 0.5000), Ir at (0.5000, 0.5000, 0.0000) and Pb at (0.5000, 0.5000, 0.5000).

The calculation puts the energy relative to the elements, uncorrected at 7 meV/atom. As for the calculated density: 10.281 g cm⁻³.


Density functional theory data (GGA-PBE) for crystalline Th3IrPb at its relaxed geometry.

The structure belongs to space group P2_1/m (No. 11); the cell edges are 7.3964, 4.6245 and 9.1952 Å and the angles 90.00°, 101.19° and 90.00°. Symmetry generates all atoms from Th at (0.0321, 0.2500, 0.3366), Th at (0.2925, 0.2500, 0.9323), Th at (0.4474, 0.7500, 0.6200), Ir at (0.2148, 0.2500, 0.6247) and Pb at (0.2663, 0.7500, 0.1783).

The calculation puts the formation energy at -0.45 eV per atom. As for the calculated density: 11.792 g cm⁻³.


Density functional theory data (GGA-PBE) for crystalline Th6IrPb2 at its relaxed geometry.

The structure belongs to space group P2_1/c (No. 14); the cell edges are 6.4322, 8.2983 and 12.1917 Å and the angles 90.00°, 119.22° and 90.00°. Symmetry generates all atoms from Th at (0.0828, 0.1940, 0.4590), Th at (0.3245, 0.6741, 0.4605), Th at (0.3704, 0.0269, 0.2471), Ir at (0.5000, 0.0000, 0.5000) and Pb at (0.1456, 0.1091, 0.7467).

The calculation puts the formation energy at -0.29 eV per atom. As for the calculated density: 11.689 g cm⁻³.


no.,V (Å³/cell)
1,227.6
2,196.3
3,90.0
4,186.4
5,547.4
6,79.6
7,197.2
8,152.2
9,151.1
10,151.1
11,308.5
12,567.9